# 1
Density functional theory data (PBE) for crystalline Zn2Cd2Ag5 at its relaxed geometry.

Results
The crystal system is triclinic.

Lattice parameters (Å, degrees): 5.840 7.092 8.533 76.39 70.68 89.74
Space group P1 (No. 1)
Asymmetric unit:
Zn1 0.000 0.000 0.000
Zn2 0.066 0.694 0.877
Zn3 0.498 0.016 0.001
Zn4 0.628 0.332 0.760
Cd1 0.118 0.345 0.779
Cd2 0.304 0.365 0.407
Cd3 0.562 0.669 0.883
Cd4 0.824 0.990 0.355
Ag1 0.157 0.699 0.191
Ag2 0.201 0.313 0.101
Ag3 0.328 0.983 0.348
Ag4 0.419 0.030 0.672
Ag5 0.471 0.658 0.566
Ag6 0.661 0.699 0.191
Ag7 0.703 0.312 0.098
Ag8 0.799 0.371 0.415
Ag9 0.919 0.029 0.674
Ag10 0.970 0.659 0.567



# 2
Density functional theory data (PBE) for crystalline PmNdIn6 at its relaxed geometry.

Results
The crystal system is tetragonal.

Lattice parameters (Å, degrees): 4.706 4.706 9.417 90.00 90.00 90.00
Space group P4/mmm (No. 123)
Asymmetric unit:
Pm1 0.000 0.000 0.000
Nd1 0.000 0.000 0.500
In1 0.000 0.500 0.249
In2 0.500 0.500 0.000
In3 0.500 0.500 0.500



Calculated offset from the most stable computed form in order - 0, 0 meV per atom